1.
VASP calculation (GGA-PBE) on a geometry-optimized Tb2DyB6 structure.

Summary:
Fermi-level density of states = 0.243 states/eV/atom
Energy = -58.82 eV per formula unit

a b c (Å): 5.7085 5.7085 3.9057
angles (deg): 90.00 90.00 120.00
Closest atoms and distances in Å follow each position.
Space group P6/mmm (No. 191)
Symmetry-distinct sites (fractional):
Tb 0.3333 0.6667 0.0000  12 B 2.73
Dy 0.0000 0.0000 0.0000  12 B 2.72
B 0.0000 0.3325 0.5000  3 B 1.90-1.91

2.
VASP calculation (GGA-PBE) on a geometry-optimized TbDyB structure.

Summary:
Fermi-level density of states = 1.024 states/eV/atom
Energy = -15.70 eV per formula unit

a b c (Å): 11.6543 11.6543 10.9262
angles (deg): 90.00 90.00 120.00
Closest atoms and distances in Å follow each position.
Space group R-3 (No. 148, hexagonal axes)
Symmetry-distinct sites (fractional):
Tb 0.0243 0.8184 0.3829  2 B 2.53-2.61
Dy 0.0273 0.8230 0.8875  3 B 2.54-2.73
B 0.0407 0.7846 0.1563  2 Tb 2.53-2.61, 3 Dy 2.54-2.73

3.
VASP calculation (GGA-PBE) on a geometry-optimized DyTcB4 structure.

Summary:
Fermi-level density of states = 0.287 states/eV/atom
E above lowest polymorph = 26.00 kJ per mole of atoms

a b c (Å): 3.1548 5.3740 7.1387
angles (deg): 90.00 90.00 90.00
Closest atoms and distances in Å follow each position.
Space group Immm (No. 71)
Symmetry-distinct sites (fractional):
Dy 0.0000 0.0000 0.0000  12 B 2.53-2.54
Tc 0.0000 0.0000 0.5000  12 B 2.54
B 0.0000 0.3360 0.2491  3 B 1.76-1.83

4.
VASP calculation (GGA-PBE) on a geometry-optimized DyTcB2 structure.

Summary:
Fermi-level density of states = 0.744 states/eV/atom
E above lowest polymorph = 42.66 kJ per mole of atoms

a b c (Å): 3.6715 3.6715 14.2452
angles (deg): 90.00 90.00 120.00
Closest atoms and distances in Å follow each position.
Space group R-3m (No. 166, hexagonal axes)
Symmetry-distinct sites (fractional):
Dy 0.0000 0.0000 0.0000  8 B 2.79-2.94
Tc 0.0000 0.0000 0.5000  6 B 2.19
B 0.0000 0.0000 0.2062  3 Tc 2.19, 3 B 2.40

5.
VASP calculation (GGA-PBE) on a geometry-optimized Dy2TcB6 structure.

Summary:
Fermi-level density of states = 0.414 states/eV/atom
E above lowest polymorph = 24.13 kJ per mole of atoms

a b c (Å): 8.9615 4.8243 5.5834
angles (deg): 90.00 111.68 90.00
Closest atoms and distances in Å follow each position.
Space group C2/m (No. 12)
Symmetry-distinct sites (fractional):
Dy 0.1219 0.0000 0.3056  9 B 2.66-2.92
Tc 0.0000 0.5000 0.5000  4 B 2.23
B 0.1494 0.3256 0.8845  3 B 1.65-1.78
B 0.1972 0.0000 0.8609  4 B 1.65-1.78

6.
VASP calculation (GGA-PBE) on a geometry-optimized DyTcB structure.

Summary:
Fermi-level density of states = 0.596 states/eV/atom
E above lowest polymorph = 0.00 kJ per mole of atoms

a b c (Å): 4.2342 4.2505 5.4270
angles (deg): 90.00 90.00 90.00
Closest atoms and distances in Å follow each position.
Space group Pmmn (No. 59, origin choice 2)
Symmetry-distinct sites (fractional):
Dy 0.2500 0.2500 0.1237  2 B 2.64-2.78, 2 Tc 2.85
Tc 0.2500 0.7500 0.5249  4 B 2.18-2.24
B 0.2500 0.2500 0.6109  4 Tc 2.18-2.24

7.
VASP calculation (GGA-PBE) on a geometry-optimized Dy2TcB6 structure.

Summary:
Fermi-level density of states = 0.347 states/eV/atom
E above lowest polymorph = 0.00 kJ per mole of atoms

a b c (Å): 3.4600 5.4012 11.7627
angles (deg): 90.00 90.00 90.00
Closest atoms and distances in Å follow each position.
Space group Immm (No. 71)
Symmetry-distinct sites (fractional):
Dy 0.0000 0.0000 0.1626  10 B 2.62-2.73
Tc 0.0000 0.5000 0.0000  12 B 2.37-2.50
B 0.0000 0.1493 0.3812  2 B 1.61-1.72
B 0.0000 0.3344 0.5000  3 B 1.72-1.79

8.
VASP calculation (GGA-PBE) on a geometry-optimized DyTcB2 structure.

Summary:
Fermi-level density of states = 0.328 states/eV/atom
E above lowest polymorph = 14.75 kJ per mole of atoms

a b c (Å): 6.0342 3.3887 10.2457
angles (deg): 90.00 90.00 90.00
Closest atoms and distances in Å follow each position.
Space group Pnma (No. 62)
Symmetry-distinct sites (fractional):
Dy 0.1118 0.2500 0.1385  8 B 2.63-2.76
Tc 0.1259 0.2500 0.4376  5 B 2.26-2.49
B 0.0326 0.2500 0.6746  2 B 1.83-1.85
B 0.2309 0.2500 0.8120  2 B 1.83-1.85

9.
VASP calculation (GGA-PBE) on a geometry-optimized DyTc4B2 structure.

Summary:
Fermi-level density of states = 1.091 states/eV/atom
Energy = -60.47 eV per formula unit

a b c (Å): 3.7762 13.5959 3.7615
angles (deg): 90.00 90.00 90.00
Closest atoms and distances in Å follow each position.
Space group Cmmm (No. 65)
Symmetry-distinct sites (fractional):
Dy 0.0000 0.0000 0.0000  8 B 2.83, 8 Tc 3.01-3.10
Tc 0.0000 0.1732 0.5000  2 B 2.35
Tc 0.0000 0.3188 0.0000  2 B 2.41, 6 Tc 2.66-2.67
B 0.0000 0.4299 0.5000  1 B 1.91

10.
VASP calculation (GGA-PBE) on a geometry-optimized DyTc2B6 structure.

Summary:
Fermi-level density of states = 0.575 states/eV/atom
E above lowest polymorph = 15.30 kJ per mole of atoms

a b c (Å): 5.3161 5.3161 3.5185
angles (deg): 90.00 90.00 120.00
Closest atoms and distances in Å follow each position.
Space group P6/mmm (No. 191)
Symmetry-distinct sites (fractional):
Dy 0.0000 0.0000 0.0000  12 B 2.53
Tc 0.3333 0.6667 0.0000  12 B 2.48
B 0.0000 0.3409 0.5000  3 B 1.69-1.81

11.
VASP calculation (GGA-PBE) on a geometry-optimized DyTcB4 structure.

Summary:
Fermi-level density of states = 0.368 states/eV/atom
E above lowest polymorph = 0.00 kJ per mole of atoms

a b c (Å): 5.9683 11.5510 3.6045
angles (deg): 90.00 90.00 90.00
Closest atoms and distances in Å follow each position.
Space group Pbam (No. 55)
Symmetry-distinct sites (fractional):
Dy 0.1270 0.1500 0.0000  14 B 2.66-2.80
Tc 0.1327 0.4126 0.0000  10 B 2.32-2.38, 1 Tc 2.57
B 0.0227 0.6923 0.5000  3 B 1.76-1.85
B 0.1131 0.5472 0.5000  3 B 1.74-1.76
B 0.1360 0.9686 0.5000  3 B 1.75-1.83
B 0.2128 0.8152 0.5000  3 B 1.82-1.85

12.
VASP calculation (GGA-PBE) on a geometry-optimized DyTcB structure.

Summary:
Fermi-level density of states = 0.322 states/eV/atom
E above lowest polymorph = 1.72 kJ per mole of atoms

a b c (Å): 3.7329 3.7329 4.1150
angles (deg): 90.00 90.00 120.00
Closest atoms and distances in Å follow each position.
Space group P-6m2 (No. 187)
Symmetry-distinct sites (fractional):
Dy 0.0000 0.0000 0.0000  6 B 2.98, 6 Tc 2.98
Tc 0.3333 0.6667 0.5000  3 B 2.16
B 0.6667 0.3333 0.5000  3 Tc 2.16